Record 1
DFT (PBE) results for a geometry-optimized La2MoIr structure.

Calculated values
energy of formation: 6.290 kcal/mol of atoms
energy above the most stable polymorph in this dataset: 1.52 eV/f.u.
DOS at the Fermi energy: 3.8 states/eV/cell
total energy: -28.46 eV/cell
space group: C2/m

a = 5.6252 Å, b = 5.6252 Å, c = 3.2240 Å
α = 77.22°, β = 77.22°, γ = 110.54°
Closest atoms and distances in Å follow each position.
Element x y z (fractional)
Ir (0.0000, 0.5000, 0.5000)  4 La 2.92, 2 Mo 3.20, 2 Ir 3.22
La (0.0000, 0.0000, 0.0000)  2 Mo 2.92, 2 Ir 2.92, 4 La 3.20-3.22
La (0.5000, 0.5000, 0.0000)  2 Ir 2.92, 2 Mo 2.92, 4 La 3.20-3.22
Mo (0.5000, 0.0000, 0.5000)  4 La 2.92, 2 Ir 3.20, 2 Mo 3.22

=====

Record 2
DFT (PBE) results for a geometry-optimized LaMoIr2 structure.

Calculated values
energy of formation: 9.905 kcal/mol of atoms
energy above the most stable polymorph in this dataset: 2.60 eV/f.u.
DOS at the Fermi energy: 5.6 states/eV/cell
total energy: -31.76 eV/cell
space group: R3m

a = 10.0882 Å, b = 10.0882 Å, c = 10.0882 Å
α = 16.44°, β = 16.44°, γ = 16.44°
Closest atoms and distances in Å follow each position.
Element x y z (fractional)
Ir (0.0010, 0.0010, 0.0010)  3 Mo 2.66, 9 Ir 2.82-2.89
Ir (0.2580, 0.2580, 0.2580)  9 Ir 2.82-2.89, 3 La 3.10
La (0.5038, 0.5038, 0.5038)  6 La 2.89, 3 Ir 3.10
Mo (0.7372, 0.7372, 0.7372)  3 Ir 2.66, 6 Mo 2.89

=====

Record 3
DFT (PBE) results for a geometry-optimized LaMoIr structure.

Calculated values
energy of formation: 9.419 kcal/mol of atoms
energy above the most stable polymorph in this dataset: 1.56 eV/f.u.
DOS at the Fermi energy: 2.9 states/eV/cell
total energy: -23.39 eV/cell
space group: P3m1

a = 2.9227 Å, b = 2.9227 Å, c = 7.8459 Å
α = 90.00°, β = 90.00°, γ = 120.00°
Closest atoms and distances in Å follow each position.
Element x y z (fractional)
Ir (0.0000, 0.0000, 0.9674)  3 Mo 2.66, 6 Ir 2.92
La (0.6667, 0.3333, 0.3279)  6 La 2.92
Mo (0.3333, 0.6667, 0.7047)  3 Ir 2.66, 6 Mo 2.92

=====

Record 4
DFT (PBE) results for a geometry-optimized LaMoIr2 structure.

Calculated values
energy of formation: 5.950 kcal/mol of atoms
energy above the most stable polymorph in this dataset: 1.91 eV/f.u.
DOS at the Fermi energy: 5.1 states/eV/cell
total energy: -32.45 eV/cell
space group: F-43m

a = 4.6719 Å, b = 4.6719 Å, c = 4.6719 Å
α = 60.00°, β = 60.00°, γ = 60.00°
Closest atoms and distances in Å follow each position.
Element x y z (fractional)
Ir (0.0000, 0.0000, 0.0000)  4 Ir 2.86, 4 Mo 2.86
Ir (0.2500, 0.2500, 0.2500)  4 La 2.86, 4 Ir 2.86
La (0.5000, 0.5000, 0.5000)  4 Mo 2.86, 4 Ir 2.86
Mo (0.7500, 0.7500, 0.7500)  4 La 2.86, 4 Ir 2.86

=====

Record 5
DFT (PBE) results for a geometry-optimized LaMoIr structure.

Calculated values
energy of formation: -2.610 kcal/mol of atoms
energy above the most stable polymorph in this dataset: 0.00 eV/f.u.
DOS at the Fermi energy: 2.5 states/eV/cell
total energy: -24.96 eV/cell
space group: P3m1

a = 4.2077 Å, b = 4.2077 Å, c = 4.7461 Å
α = 90.00°, β = 90.00°, γ = 120.00°
Closest atoms and distances in Å follow each position.
Element x y z (fractional)
Ir (0.0000, 0.0000, 0.8703)  3 Mo 2.45
La (0.6667, 0.3333, 0.3299)  6 Ir 3.27-3.53, 6 Mo 3.30-3.50
Mo (0.3333, 0.6667, 0.7998)  3 Ir 2.45

=====

Record 6
DFT (PBE) results for a geometry-optimized LaMoIr2 structure.

Calculated values
energy of formation: -1.218 kcal/mol of atoms
energy above the most stable polymorph in this dataset: 0.67 eV/f.u.
DOS at the Fermi energy: 4.0 states/eV/cell
total energy: -33.69 eV/cell
space group: Pm

a = 4.6019 Å, b = 3.0468 Å, c = 5.6041 Å
α = 79.31°, β = 90.00°, γ = 90.00°
Closest atoms and distances in Å follow each position.
Element x y z (fractional)
Ir (0.0000, 0.1123, 0.9354)  2 Mo 2.61, 1 La 2.82, 2 Ir 2.92
Ir (0.5000, 0.0979, 0.2564)  2 Mo 2.60-2.68
La (0.0000, 0.5344, 0.4430)  6 Ir 2.82-3.06, 2 La 3.05
Mo (0.5000, 0.7554, 0.8652)  4 Ir 2.60-2.68

=====

Record 7
DFT (PBE) results for a geometry-optimized LaMoIr structure.

Calculated values
energy of formation: 26.030 kcal/mol of atoms
energy above the most stable polymorph in this dataset: 3.73 eV/f.u.
DOS at the Fermi energy: 3.7 states/eV/cell
total energy: -21.23 eV/cell
space group: F-43m

a = 4.6165 Å, b = 4.6165 Å, c = 4.6165 Å
α = 60.00°, β = 60.00°, γ = 60.00°
Closest atoms and distances in Å follow each position.
Element x y z (fractional)
Ir (0.5000, 0.5000, 0.5000)  4 La 2.83
La (0.7500, 0.7500, 0.7500)  4 Mo 2.83, 4 Ir 2.83
Mo (0.0000, 0.0000, 0.0000)  4 La 2.83

=====

Record 8
DFT (PBE) results for a geometry-optimized LaMoIr2 structure.

Calculated values
energy of formation: 1.906 kcal/mol of atoms
energy above the most stable polymorph in this dataset: 1.21 eV/f.u.
DOS at the Fermi energy: 4.2 states/eV/cell
total energy: -33.15 eV/cell
space group: Imm2

a = 5.9933 Å, b = 5.9933 Å, c = 5.9933 Å
α = 151.90°, β = 131.89°, γ = 56.64°
Closest atoms and distances in Å follow each position.
Element x y z (fractional)
Ir (0.0013, 0.0013, 0.0000)  2 Mo 2.71, 4 Ir 2.76-2.91, 4 La 2.85
Ir (0.2235, 0.7235, 0.5000)  4 Ir 2.76-2.91, 4 Mo 2.92
La (0.4904, 0.4904, 0.0000)  6 Ir 2.85-3.17, 2 La 2.91
Mo (0.7848, 0.2848, 0.5000)  6 Ir 2.71-2.92, 2 Mo 2.91

=====

Record 9
DFT (PBE) results for a geometry-optimized La2MoIr structure.

Calculated values
energy of formation: 8.139 kcal/mol of atoms
energy above the most stable polymorph in this dataset: 1.84 eV/f.u.
DOS at the Fermi energy: 3.9 states/eV/cell
total energy: -28.14 eV/cell
space group: R-3m

a = 8.5734 Å, b = 8.5734 Å, c = 8.5734 Å
α = 25.69°, β = 25.69°, γ = 25.69°
Closest atoms and distances in Å follow each position.
Element x y z (fractional)
Ir (0.7500, 0.7500, 0.7500)  6 La 2.87
La (0.0091, 0.0091, 0.0091)  3 Ir 2.87, 3 Mo 3.18
La (0.4909, 0.4909, 0.4909)  3 Ir 2.87, 3 Mo 3.18
Mo (0.2500, 0.2500, 0.2500)  6 La 3.18

=====

Record 10
DFT (PBE) results for a geometry-optimized LaMoIr2 structure.

Calculated values
energy of formation: 3.180 kcal/mol of atoms
energy above the most stable polymorph in this dataset: 1.43 eV/f.u.
DOS at the Fermi energy: 3.4 states/eV/cell
total energy: -32.93 eV/cell
space group: Immm

a = 4.9882 Å, b = 4.9882 Å, c = 4.9882 Å
α = 130.90°, β = 117.39°, γ = 83.41°
Closest atoms and distances in Å follow each position.
Element x y z (fractional)
Ir (0.9556, 0.9556, 0.0000)  2 Mo 2.58
Ir (0.5444, 0.5444, 0.0000)  2 Mo 2.58
La (0.2500, 0.7500, 0.5000)  8 Ir 3.01-3.02, 4 Mo 3.32
Mo (0.7500, 0.2500, 0.5000)  4 Ir 2.58

=====

Record 11
DFT (PBE) results for a geometry-optimized LaMoIr2 structure.

Calculated values
energy of formation: -5.076 kcal/mol of atoms
energy above the most stable polymorph in this dataset: 0.00 eV/f.u.
DOS at the Fermi energy: 1.8 states/eV/cell
total energy: -34.36 eV/cell
space group: P4/mmm

a = 3.0050 Å, b = 3.0050 Å, c = 8.0554 Å
α = 90.00°, β = 90.00°, γ = 90.00°
Closest atoms and distances in Å follow each position.
Element x y z (fractional)
Ir (0.0000, 0.0000, 0.9579)  4 Mo 2.71, 4 Ir 3.00
Ir (0.0000, 0.0000, 0.5421)  4 Mo 2.71, 4 Ir 3.00
La (0.5000, 0.5000, 0.2500)  4 La 3.00, 8 Ir 3.17
Mo (0.5000, 0.5000, 0.7500)  8 Ir 2.71, 4 Mo 3.00

=====

Record 12
DFT (PBE) results for a geometry-optimized La2MoIr2 structure.

Calculated values
energy of formation: -6.018 kcal/mol of atoms
DOS at the Fermi energy: 5.8 states/eV/cell
total energy: -79.43 eV/cell
space group: P4/mbm

a = 6.8344 Å, b = 6.8344 Å, c = 4.8134 Å
α = 90.00°, β = 90.00°, γ = 90.00°
Closest atoms and distances in Å follow each position.
Element x y z (fractional)
Mo (0.0000, 0.0000, 0.0000)  4 Ir 2.63
Mo (0.5000, 0.5000, 0.0000)  4 Ir 2.63
Ir (0.3563, 0.8563, 0.0000)  2 Mo 2.63, 1 Ir 2.78
Ir (0.8563, 0.6437, 0.0000)  2 Mo 2.63, 1 Ir 2.78
Ir (0.6437, 0.1437, 0.0000)  2 Mo 2.63, 1 Ir 2.78
Ir (0.1437, 0.3563, 0.0000)  2 Mo 2.63, 1 Ir 2.78
La (0.1756, 0.6756, 0.5000)  6 Ir 2.97-3.26
La (0.6756, 0.8244, 0.5000)  6 Ir 2.97-3.26
La (0.8244, 0.3244, 0.5000)  6 Ir 2.97-3.26
La (0.3244, 0.1756, 0.5000)  6 Ir 2.97-3.26